Material: Ba2SrI6
Method: DFT, GGA-PBEsol
State: optimized geometry

Cell: 12.861 12.861 8.179 Å, 95.73 95.73 37.19°
Fractional coordinates of all 18 atoms:
Ba1 0.073 0.594 0.775
Ba2 0.406 0.927 0.725
Ba3 0.594 0.073 0.275
Ba4 0.927 0.406 0.225
Sr1 0.305 0.695 0.250
Sr2 0.695 0.305 0.750
I1 0.048 0.118 0.919
I2 0.118 0.048 0.419
I3 0.251 0.253 0.007
I4 0.253 0.251 0.507
I5 0.373 0.460 0.501
I6 0.460 0.373 0.001
I7 0.540 0.627 0.999
I8 0.627 0.540 0.499
I9 0.747 0.749 0.493
I10 0.749 0.747 0.993
I11 0.882 0.952 0.581
I12 0.952 0.882 0.081

Calculated values
* raw formation energy: -1729 meV per atom
* VASP energy: -3.589 eV/atom
* theoretical density: 4.59 g/cm³
* E above lowest polymorph: 2.5 kJ/mol of atoms
* crystal system: monoclinic